Entry A
A relaxed Y2CoSBr crystal, computed with PBE.

Cell: 5.119 5.119 5.821 Å, 90.00 90.00 90.00°
Space group P4/mmm (No. 123)
One atom of each set of equivalent atoms:
1 Y 0.000 0.500 0.000 (multiplicity 2)
2 Co 0.000 0.000 0.500 (multiplicity 1)
3 S 0.500 0.500 0.000 (multiplicity 1)
4 Br 0.500 0.500 0.500 (multiplicity 1)

Values from the calculation:
- Total magnetic moment: 1.88 Bohr magnetons per cell


Entry B
A relaxed Y2CoSBr crystal, computed with PBE.

Cell: 5.334 5.334 4.007 Å, 90.00 90.00 90.00°
Space group P4/mmm (No. 123)
One atom of each set of equivalent atoms:
1 Y 0.000 0.500 0.000 (multiplicity 2)
2 Co 0.000 0.000 0.500 (multiplicity 1)
3 S 0.000 0.000 0.000 (multiplicity 1)
4 Br 0.500 0.500 0.500 (multiplicity 1)

Values from the calculation:
- Total magnetic moment: 0.43 Bohr magnetons per cell


entry B is the most stable structure; the next one sits 774 meV per atom above it.


Entry A
A relaxed CoSb2Br crystal, computed with PBE.

Cell: 3.284 4.868 5.844 Å, 90.00 90.00 90.00°
Space group Pmmm (No. 47)
One atom of each set of equivalent atoms:
1 Co 0.000 0.000 0.000 (multiplicity 1)
2 Sb 0.000 0.500 0.500 (multiplicity 1)
3 Sb 0.500 0.500 0.000 (multiplicity 1)
4 Br 0.500 0.000 0.500 (multiplicity 1)

Values from the calculation:
- Total magnetic moment: 1.76 Bohr magnetons per cell


Entry B
A relaxed CoSb2Br crystal, computed with PBE.

Cell: 3.542 5.344 9.618 Å, 90.00 90.00 90.00°
Space group Amm2 (No. 38)
One atom of each set of equivalent atoms:
1 Co 0.000 0.000 0.000 (multiplicity 2)
2 Sb 0.000 0.000 0.480 (multiplicity 2)
3 Sb 0.500 0.000 0.178 (multiplicity 2)
4 Br 0.500 0.000 0.816 (multiplicity 2)

Values from the calculation:
- Total magnetic moment: 0.00 Bohr magnetons per cell


entry B is the most stable structure; the next one sits 482 meV per atom above it.


Entry A
A relaxed CoSe3Br crystal, computed with PBE.

Cell: 5.146 5.146 5.146 Å, 90.00 90.00 90.00°
Space group Pm-3m (No. 221)
One atom of each set of equivalent atoms:
1 Co 0.000 0.000 0.000 (multiplicity 1)
2 Se 0.000 0.500 0.500 (multiplicity 3)
3 Br 0.500 0.500 0.500 (multiplicity 1)

Values from the calculation:
- Total magnetic moment: 2.90 Bohr magnetons per cell


Entry B
A relaxed CoSe3Br crystal, computed with PBE.

Cell: 4.740 4.740 4.740 Å, 90.00 90.00 90.00°
Space group Pm-3m (No. 221)
One atom of each set of equivalent atoms:
1 Co 0.000 0.000 0.000 (multiplicity 1)
2 Se 0.000 0.000 0.500 (multiplicity 3)
3 Br 0.500 0.500 0.500 (multiplicity 1)

Values from the calculation:
- Total magnetic moment: 1.85 Bohr magnetons per cell


entry B is the most stable structure; the next one sits 926 meV per atom above it.


Entry A
A relaxed CoSiSeBr2 crystal, computed with PBE.

Cell: 4.821 4.821 4.800 Å, 90.00 90.00 90.00°
Space group P4/mmm (No. 123)
One atom of each set of equivalent atoms:
1 Co 0.000 0.000 0.000 (multiplicity 1)
2 Si 0.500 0.500 0.500 (multiplicity 1)
3 Se 0.000 0.000 0.500 (multiplicity 1)
4 Br 0.000 0.500 0.000 (multiplicity 2)

Values from the calculation:
- Total magnetic moment: 1.00 Bohr magnetons per cell


Entry B
A relaxed CoSiSeBr2 crystal, computed with PBE.

Cell: 5.013 5.013 5.027 Å, 90.00 90.00 90.00°
Space group P4/mmm (No. 123)
One atom of each set of equivalent atoms:
1 Co 0.000 0.000 0.000 (multiplicity 1)
2 Si 0.500 0.500 0.500 (multiplicity 1)
3 Se 0.500 0.500 0.000 (multiplicity 1)
4 Br 0.000 0.500 0.500 (multiplicity 2)

Values from the calculation:
- Total magnetic moment: 2.41 Bohr magnetons per cell


entry A is the most stable structure; the next one sits 198 meV per atom above it.


Entry A
A relaxed SrCoSe2Br crystal, computed with PBE.

Cell: 5.857 5.857 5.736 Å, 90.00 90.00 90.00°
Space group P4/mmm (No. 123)
One atom of each set of equivalent atoms:
1 Sr 0.000 0.000 0.000 (multiplicity 1)
2 Co 0.500 0.500 0.500 (multiplicity 1)
3 Se 0.000 0.500 0.000 (multiplicity 2)
4 Br 0.000 0.000 0.500 (multiplicity 1)

Values from the calculation:
- Total magnetic moment: 3.96 Bohr magnetons per cell


Entry B
A relaxed SrCoSe2Br crystal, computed with PBE.

Cell: 4.788 4.788 5.231 Å, 90.00 90.00 90.00°
Space group P4/mmm (No. 123)
One atom of each set of equivalent atoms:
1 Sr 0.000 0.000 0.000 (multiplicity 1)
2 Co 0.500 0.500 0.500 (multiplicity 1)
3 Se 0.000 0.500 0.500 (multiplicity 2)
4 Br 0.500 0.500 0.000 (multiplicity 1)

Values from the calculation:
- Total magnetic moment: 1.90 Bohr magnetons per cell


entry B is the most stable structure; the next one sits 1192 meV per atom above it.


Entry A
A relaxed TaCoSe2Br crystal, computed with PBE.

Cell: 5.030 5.030 5.142 Å, 90.00 90.00 90.00°
Space group P4/mmm (No. 123)
One atom of each set of equivalent atoms:
1 Ta 0.000 0.000 0.000 (multiplicity 1)
2 Co 0.500 0.500 0.500 (multiplicity 1)
3 Se 0.000 0.500 0.000 (multiplicity 2)
4 Br 0.000 0.000 0.500 (multiplicity 1)

Values from the calculation:
- Total magnetic moment: 2.68 Bohr magnetons per cell


Entry B
A relaxed TaCoSe2Br crystal, computed with PBE.

Cell: 4.635 4.635 4.578 Å, 90.00 90.00 90.00°
Space group P4/mmm (No. 123)
One atom of each set of equivalent atoms:
1 Ta 0.000 0.000 0.000 (multiplicity 1)
2 Co 0.500 0.500 0.500 (multiplicity 1)
3 Se 0.000 0.500 0.500 (multiplicity 2)
4 Br 0.500 0.500 0.000 (multiplicity 1)

Values from the calculation:
- Total magnetic moment: 0.00 Bohr magnetons per cell


entry A is the most stable structure; the next one sits 256 meV per atom above it.


Entry A
A relaxed YCoSeBr2 crystal, computed with PBE.

Cell: 5.502 5.502 5.574 Å, 90.00 90.00 90.00°
Space group P4/mmm (No. 123)
One atom of each set of equivalent atoms:
1 Y 0.000 0.000 0.000 (multiplicity 1)
2 Co 0.500 0.500 0.500 (multiplicity 1)
3 Se 0.000 0.000 0.500 (multiplicity 1)
4 Br 0.000 0.500 0.000 (multiplicity 2)

Values from the calculation:
- Total magnetic moment: 2.39 Bohr magnetons per cell


Entry B
A relaxed YCoSeBr2 crystal, computed with PBE.

Cell: 4.748 4.748 4.982 Å, 90.00 90.00 90.00°
Space group P4/mmm (No. 123)
One atom of each set of equivalent atoms:
1 Y 0.000 0.000 0.000 (multiplicity 1)
2 Co 0.500 0.500 0.500 (multiplicity 1)
3 Se 0.500 0.500 0.000 (multiplicity 1)
4 Br 0.000 0.500 0.500 (multiplicity 2)

Values from the calculation:
- Total magnetic moment: 0.68 Bohr magnetons per cell


entry B is the most stable structure; the next one sits 167 meV per atom above it.


Entry A
A relaxed YCoSe2Br crystal, computed with PBE.

Cell: 4.821 4.821 4.653 Å, 90.00 90.00 90.00°
Space group P4/mmm (No. 123)
One atom of each set of equivalent atoms:
1 Y 0.000 0.000 0.000 (multiplicity 1)
2 Co 0.500 0.500 0.500 (multiplicity 1)
3 Se 0.000 0.500 0.500 (multiplicity 2)
4 Br 0.500 0.500 0.000 (multiplicity 1)

Values from the calculation:
- Total magnetic moment: 0.06 Bohr magnetons per cell


Entry B
A relaxed YCoSe2Br crystal, computed with PBE.

Cell: 5.505 5.505 5.414 Å, 90.00 90.00 90.00°
Space group P4/mmm (No. 123)
One atom of each set of equivalent atoms:
1 Y 0.000 0.000 0.000 (multiplicity 1)
2 Co 0.500 0.500 0.500 (multiplicity 1)
3 Se 0.000 0.500 0.000 (multiplicity 2)
4 Br 0.000 0.000 0.500 (multiplicity 1)

Values from the calculation:
- Total magnetic moment: 2.54 Bohr magnetons per cell


entry A is the most stable structure; the next one sits 515 meV per atom above it.